Run 1
Material: TlRu2Au
Method: DFT, PBE
State: optimized geometry

a b c (Å): 4.6110 4.6110 4.6110
angles (deg): 60.00 60.00 60.00
With the nearest neighbours (Å) after each atom.
Atoms (fractional coordinates):
Ru  0.0000  0.0000  0.0000  4 Tl 2.82, 4 Ru 2.82
Ru  0.2500  0.2500  0.2500  4 Ru 2.82, 4 Au 2.82
Tl  0.7500  0.7500  0.7500  4 Ru 2.82, 4 Au 2.82
Au  0.5000  0.5000  0.5000  4 Ru 2.82, 4 Tl 2.82

Values from the calculation:
- N(E_F): 5.12 states/eV per cell
- Calculated volume: 69.3 Å³ per cell
- Space group: F-43m (216)

Run 2
Material: TlRu2Au
Method: DFT, PBE
State: optimized geometry

a b c (Å): 5.7594 5.7594 5.7594
angles (deg): 150.72 130.79 58.30
With the nearest neighbours (Å) after each atom.
Atoms (fractional coordinates):
Ru  0.9778  0.9778  0.0000  2 Ru 2.54, 4 Tl 2.83
Ru  0.7704  0.2704  0.5000  2 Ru 2.54, 4 Au 2.82
Tl  0.5142  0.5142  0.0000  6 Ru 2.83-2.96, 2 Tl 2.91, 2 Au 3.14
Au  0.2376  0.7376  0.5000  6 Ru 2.82-2.99, 2 Au 2.91, 2 Tl 3.14

Values from the calculation:
- N(E_F): 4.60 states/eV per cell
- Calculated volume: 70.2 Å³ per cell
- Space group: Imm2 (44)

Run 3
Material: TlRu2Au
Method: DFT, PBE
State: optimized geometry

a b c (Å): 4.5858 4.5858 4.5858
angles (deg): 60.00 60.00 60.00
With the nearest neighbours (Å) after each atom.
Atoms (fractional coordinates):
Ru  0.2500  0.2500  0.2500  4 Tl 2.81, 4 Au 2.81
Ru  0.7500  0.7500  0.7500  4 Tl 2.81, 4 Au 2.81
Tl  0.5000  0.5000  0.5000  8 Ru 2.81
Au  0.0000  0.0000  0.0000  8 Ru 2.81

Values from the calculation:
- N(E_F): 3.70 states/eV per cell
- Calculated volume: 68.2 Å³ per cell
- Space group: Fm-3m (225)

Run 4
Material: TlRu2Au
Method: DFT, PBE
State: optimized geometry

a b c (Å): 4.2729 2.9443 5.8274
angles (deg): 75.49 90.00 90.00
With the nearest neighbours (Å) after each atom.
Atoms (fractional coordinates):
Ru  0.0000  0.1804  0.0136  2 Ru 2.43
Ru  0.5000  0.0775  0.2205  2 Ru 2.43
Tl  0.0000  0.4439  0.4881  2 Tl 2.94, 7 Ru 2.96-3.06, 4 Au 3.06-3.07
Au  0.5000  0.7982  0.7778  7 Ru 2.90-3.14, 2 Au 2.94, 4 Tl 3.06-3.07

Values from the calculation:
- N(E_F): 3.49 states/eV per cell
- Calculated volume: 71.0 Å³ per cell
- Space group: Pm (6)

run 4 is the most stable structure; the next one sits 8 meV/atom above it.

Run 1
Material: URu2Au
Method: DFT, PBE
State: optimized geometry

a b c (Å): 4.6126 4.6126 4.6126
angles (deg): 60.00 60.00 60.00
With the nearest neighbours (Å) after each atom.
Atoms (fractional coordinates):
U  0.0000  0.0000  0.0000  8 Ru 2.82
Au  0.5000  0.5000  0.5000  8 Ru 2.82
Ru  0.7500  0.7500  0.7500  4 U 2.82, 4 Au 2.82
Ru  0.2500  0.2500  0.2500  4 U 2.82, 4 Au 2.82

Values from the calculation:
- N(E_F): 5.23 states/eV per cell
- Calculated volume: 69.4 Å³ per cell
- Space group: Fm-3m (225)

Run 2
Material: URu2Au
Method: DFT, PBE
State: optimized geometry

a b c (Å): 3.7504 4.2515 4.2515
angles (deg): 90.00 90.00 90.00
With the nearest neighbours (Å) after each atom.
Atoms (fractional coordinates):
U  0.5000  0.5000  0.5000  8 Ru 2.83, 4 Au 3.01
Au  0.5000  0.0000  0.0000  8 Ru 2.83, 4 U 3.01
Ru  0.0000  0.5000  0.0000  4 U 2.83, 4 Au 2.83, 4 Ru 3.01
Ru  0.0000  0.0000  0.5000  4 U 2.83, 4 Au 2.83, 4 Ru 3.01

Values from the calculation:
- N(E_F): 5.00 states/eV per cell
- Calculated volume: 67.8 Å³ per cell
- Space group: P4/mmm (123)

run 2 is the most stable structure; the next one sits 233 meV/atom above it.

Run 1
Material: VRu2Au
Method: DFT, PBE
State: optimized geometry

a b c (Å): 2.9621 2.9621 6.8584
angles (deg): 90.00 90.00 90.00
With the nearest neighbours (Å) after each atom.
Atoms (fractional coordinates):
Ru  0.0000  0.0000  0.2094  4 V 2.54
Ru  0.0000  0.0000  0.7906  4 V 2.54
V  0.5000  0.5000  0.0000  8 Ru 2.54
Au  0.5000  0.5000  0.5000  8 Ru 2.89, 4 Au 2.96

Values from the calculation:
- N(E_F): 5.47 states/eV per cell
- Calculated volume: 60.2 Å³ per cell
- Space group: P4/mmm (123)

Run 2
Material: VRu2Au
Method: DFT, PBE
State: optimized geometry

a b c (Å): 4.3802 4.3802 4.3802
angles (deg): 60.00 60.00 60.00
With the nearest neighbours (Å) after each atom.
Atoms (fractional coordinates):
Au  0.5000  0.5000  0.5000  8 Ru 2.68
Ru  0.7500  0.7500  0.7500  4 Au 2.68, 4 V 2.68
Ru  0.2500  0.2500  0.2500  4 Au 2.68, 4 V 2.68
V  0.0000  0.0000  0.0000  8 Ru 2.68

Values from the calculation:
- N(E_F): 4.23 states/eV per cell
- Calculated volume: 59.4 Å³ per cell
- Space group: Fm-3m (225)

run 1 is the most stable structure; the next one sits 155 meV/atom above it.

Run 1
Material: VRu2Au
Method: DFT, PBE
State: optimized geometry

a b c (Å): 3.8474 3.8474 9.2874
angles (deg): 78.05 78.05 90.00
With the nearest neighbours (Å) after each atom.
Atoms (fractional coordinates):
Ru  0.8750  0.8290  0.7500  2 Ru 2.48, 2 V 2.54, 2 Au 2.67
Ru  0.1710  0.6250  0.2500  2 Ru 2.48, 2 V 2.54, 2 Au 2.67
Ru  0.3750  0.4210  0.7500  2 Ru 2.48, 2 V 2.54, 2 Au 2.67
Ru  0.5790  0.1250  0.2500  2 Ru 2.48, 2 V 2.54, 2 Au 2.67
V  0.2500  0.7500  0.5000  4 Ru 2.54, 4 Au 2.72
V  0.5000  0.5000  0.0000  4 Ru 2.54, 4 Au 2.72
Au  0.7500  0.2500  0.5000  4 Ru 2.67, 4 V 2.72
Au  0.0000  0.0000  0.0000  4 Ru 2.67, 4 V 2.72

Values from the calculation:
- N(E_F): 11.20 states/eV per cell
- Calculated volume: 131.4 Å³ per cell
- Space group: I-42d (122)

Run 2
Material: VRu2Au
Method: DFT, PBE
State: optimized geometry

a b c (Å): 3.7711 3.9266 3.9266
angles (deg): 90.00 90.00 90.00
With the nearest neighbours (Å) after each atom.
Atoms (fractional coordinates):
Ru  0.0000  0.0000  0.5000  4 V 2.72, 4 Au 2.72, 4 Ru 2.78
Ru  0.0000  0.5000  0.0000  4 V 2.72, 4 Au 2.72, 4 Ru 2.78
Au  0.5000  0.0000  0.0000  8 Ru 2.72, 4 V 2.78
V  0.5000  0.5000  0.5000  8 Ru 2.72, 4 Au 2.78

Values from the calculation:
- N(E_F): 2.02 states/eV per cell
- Calculated volume: 58.1 Å³ per cell
- Space group: P4/mmm (123)

run 2 is the most stable structure; the next one sits 547 meV/atom above it.

Run 1
Material: RuWAu2
Method: DFT, PBE
State: optimized geometry

a b c (Å): 4.7748 4.7748 2.8851
angles (deg): 90.00 90.00 90.00
With the nearest neighbours (Å) after each atom.
Atoms (fractional coordinates):
Au  0.0000  0.0000  0.0000  4 W 2.79, 4 Ru 2.79, 2 Au 2.89
Au  0.5000  0.5000  0.0000  4 W 2.79, 4 Ru 2.79, 2 Au 2.89
W  0.0000  0.5000  0.5000  8 Au 2.79, 2 W 2.89
Ru  0.5000  0.0000  0.5000  8 Au 2.79, 2 Ru 2.89

Values from the calculation:
- N(E_F): 3.34 states/eV per cell
- Calculated volume: 65.8 Å³ per cell
- Space group: P4/mmm (123)

Run 2
Material: RuWAu2
Method: DFT, PBE
State: optimized geometry

a b c (Å): 9.7364 9.7364 9.7364
angles (deg): 16.67 16.67 16.67
With the nearest neighbours (Å) after each atom.
Atoms (fractional coordinates):
Ru  0.4944  0.4944  0.4944  3 W 2.65, 6 Ru 2.82, 3 Au 2.96
Au  0.2469  0.2469  0.2469  9 Au 2.82-3.06, 3 Ru 2.96
Au  0.0033  0.0033  0.0033  9 Au 2.82-3.06, 3 W 2.95
W  0.7554  0.7554  0.7554  3 Ru 2.65, 6 W 2.82, 3 Au 2.95

Values from the calculation:
- N(E_F): 1.60 states/eV per cell
- Calculated volume: 66.3 Å³ per cell
- Space group: R3m (160)

run 2 is the most stable structure; the next one sits 467 meV/atom above it.